No. 1
KSbAu2, optimized geometry, DFT PBE; Fermi-level density of states = 0.5372 states/eV per atom; SG = P4mm; formation energy (no corrections) = -2.1 kJ per mole of atoms; total DFT energy (no corrections) = -2.965 eV/atom
1.0
3.660 0.027 0.000
-0.024 3.660 0.000
0.000 0.000 7.905
Au Sb K
2 1 1
Cartesian
1.818 1.844 1.496 Au
0.000 0.000 0.007 Au
1.818 1.844 6.572 Sb
0.000 0.000 3.782 K

No. 2
KSbAu2, optimized geometry, DFT PBE; Fermi-level density of states = 0.1053 states/eV per atom; SG = Pm; formation energy (no corrections) = -26.6 kJ per mole of atoms; total DFT energy (no corrections) = -3.220 eV/atom
1.0
4.829 0.000 0.000
0.000 5.352 0.064
0.000 0.688 5.006
Au K Sb
2 1 1
Cartesian
0.000 0.802 4.903 Au
2.415 0.585 1.386 Au
0.000 2.985 2.301 K
2.415 5.375 4.021 Sb

- Among the records above, which one has the lowest total DFT energy (no corrections)?
  number 2

- formation energy (no corrections) of number 1 (KSbAu2)?
  -2.1 kJ per mole of atoms